Here is TiMn3Fe2P6O24 after structural relaxation from Alexandria. Energies are from PBE+U.

Summary:
As for the volume: 12.4 A^3/atom. The calculated total energy is -7.399 eV/atom.

Cell and atoms, written as CIF:
```
data_TiMn3Fe2P6O24
_cell_length_a 8.6788
_cell_length_b 8.6788
_cell_length_c 20.6124
_cell_angle_alpha 90.00
_cell_angle_beta 90.00
_cell_angle_gamma 120.00
_symmetry_space_group_name_H-M 'R 3'
_symmetry_Int_Tables_number 146
_symmetry_space_group_name_Hall 'R 3'
loop_
_atom_site_label
_atom_site_type_symbol
_atom_site_fract_x
_atom_site_fract_y
_atom_site_fract_z
Ti1 Ti 0.0000 0.0000 0.0000
Mn1 Mn 0.0000 0.0000 0.2109
Mn2 Mn 0.0000 0.0000 0.4950
Mn3 Mn 0.0000 0.0000 0.7047
Fe1 Fe 0.0000 0.0000 0.3525
Fe2 Fe 0.0000 0.0000 0.8516
P1 P 0.0021 0.7013 0.5996
P2 P 0.0419 0.3725 0.7726
O1 O 0.0031 0.7931 0.6621
O2 O 0.0052 0.7971 0.5378
O3 O 0.0058 0.8305 0.2744
O4 O 0.0151 0.2007 0.1664
O5 O 0.0233 0.1859 0.7836
O6 O 0.1587 0.4695 0.7119
O7 O 0.1610 0.4754 0.0915
O8 O 0.1694 0.6730 0.5934
```